# 1
The following is a DFT calculation (PBE) of crystalline AlCu2Sb at its relaxed geometry.

Properties
Uncorrected energy, eV per cell: -15.235
Fermi-level density of states, states/eV/cell: 1.3

Unit cell a=4.578 b=4.578 c=4.578 alpha=60.00 beta=60.00 gamma=60.00
Sites, in units of the cell vectors:
Sb  0.500  0.500  0.500
Al  0.000  0.000  0.000
Cu  0.250  0.250  0.250
Cu  0.750  0.750  0.750

***

# 2
The following is a DFT calculation (PBE) of crystalline KZr4Zn at its relaxed geometry.

Properties
Uncorrected energy, eV per cell: -32.274
Fermi-level density of states, states/eV/cell: 5.5

Unit cell a=6.001 b=6.001 c=6.001 alpha=60.00 beta=60.00 gamma=60.00
Sites, in units of the cell vectors:
K  0.750  0.750  0.750
Zr  0.373  0.882  0.373
Zr  0.882  0.373  0.373
Zr  0.373  0.373  0.882
Zr  0.373  0.373  0.373
Zn  0.000  0.000  0.000